DFT (PBE) results for a geometry-optimized Rb6ZnF8 structure.

Results
For the uncorrected energy, the calculation gives -4.045 eV/atom.

Unit cell a=7.1473 b=7.1473 c=7.1473 alpha=70.39 beta=70.39 gamma=70.39
With the nearest neighbours (Å) after each atom.
Atoms (fractional coordinates):
Rb1 0.0166 0.7901 0.4403  6 F 2.75-2.97
Rb2 0.2099 0.5597 0.9834  6 F 2.75-2.97
Rb3 0.4403 0.0166 0.7901  6 F 2.75-2.97
Rb4 0.5597 0.9834 0.2099  6 F 2.75-2.97
Rb5 0.7901 0.4403 0.0166  6 F 2.75-2.97
Rb6 0.9834 0.2099 0.5597  6 F 2.75-2.97
Zn1 0.5000 0.5000 0.5000  6 F 2.11
F1 0.1563 0.1563 0.1563  6 Rb 2.83-2.97
F2 0.2201 0.4134 0.6403  1 Zn 2.11
F3 0.3597 0.7799 0.5866  1 Zn 2.11
F4 0.4134 0.6403 0.2201  1 Zn 2.11
F5 0.5866 0.3597 0.7799  1 Zn 2.11
F6 0.6403 0.2201 0.4134  1 Zn 2.11
F7 0.7799 0.5866 0.3597  1 Zn 2.11
F8 0.8437 0.8437 0.8437  6 Rb 2.83-2.97

***

DFT (PBE) results for a geometry-optimized Rb2Zn3F8 structure.

Results
For the uncorrected energy, the calculation gives -4.073 eV/atom.

Unit cell a=7.3340 b=7.3340 c=5.5086 alpha=106.98 beta=106.98 gamma=52.59
With the nearest neighbours (Å) after each atom.
Atoms (fractional coordinates):
Rb1 0.2233 0.2233 0.1743  6 F 2.71-2.97
Rb2 0.7767 0.7767 0.8257  6 F 2.71-2.97
Zn1 0.2411 0.7589 0.5000  6 F 2.03-2.21
Zn2 0.5000 0.5000 0.0000  6 F 2.05-2.13
Zn3 0.7589 0.2411 0.5000  6 F 2.03-2.21
F1 0.0988 0.0988 0.4819  2 Zn 2.06
F2 0.1985 0.6297 0.1232  2 Zn 2.03-2.05
F3 0.3703 0.8015 0.8768  2 Zn 2.03-2.05
F4 0.4122 0.4122 0.6001  3 Zn 2.13-2.21
F5 0.5878 0.5878 0.3999  3 Zn 2.13-2.21
F6 0.6297 0.1985 0.1232  2 Zn 2.03-2.05
F7 0.8015 0.3703 0.8768  2 Zn 2.03-2.05
F8 0.9012 0.9012 0.5181  2 Zn 2.06

***

DFT (PBE) results for a geometry-optimized RbZn3F structure.

Results
The offset from the most stable computed form is 2.45 eV per formula unit.

Unit cell a=6.8510 b=6.8510 c=6.8510 alpha=90.00 beta=90.00 gamma=90.00
With the nearest neighbours (Å) after each atom.
Atoms (fractional coordinates):
Rb1 0.0000 0.0000 0.0000  6 Zn 3.43
Zn1 0.0000 0.0000 0.5000  2 Rb 3.43
Zn2 0.0000 0.5000 0.0000  2 Rb 3.43
Zn3 0.5000 0.0000 0.0000  2 Rb 3.43
F1 0.5000 0.5000 0.5000  12 Zn 4.84

***

DFT (PBE) results for a geometry-optimized Rb2ZnF7 structure.

Results
For the uncorrected energy, the calculation gives -3.408 eV/atom.

Unit cell a=6.2520 b=6.2520 c=6.2520 alpha=124.43 beta=124.43 gamma=82.48
With the nearest neighbours (Å) after each atom.
Atoms (fractional coordinates):
Rb1 0.2500 0.7500 0.5000  12 F 2.95-3.13
Rb2 0.7500 0.2500 0.5000  12 F 2.95-3.13
Zn1 0.0000 0.0000 0.0000  6 F 1.89-1.99
F1 0.2006 0.2006 0.0000  1 Zn 1.89
F2 0.2410 0.2410 0.4821  1 Zn 1.99, 1 F 2.13
F3 0.2410 0.7590 0.0000  1 Zn 1.99, 1 F 2.13
F4 0.5000 0.5000 0.0000  4 F 2.13
F5 0.7590 0.2410 0.0000  1 Zn 1.99, 1 F 2.13
F6 0.7590 0.7590 0.5179  1 Zn 1.99, 1 F 2.13
F7 0.7994 0.7994 0.0000  1 Zn 1.89